# GGA-PBE SrZr3Sc, optimized geometry
# Polymorph energy (0 for the lowest one)   3.46 eV/f.u.
# E_tot   -5.124 eV/atom
# N(E_F)   10.53 states/eV per cell
# Magnetic moment   0.00 Bohr magnetons per cell
data_SrZr3Sc
_chemical_formula_sum 'Sr1 Zr3 Sc1'
_space_group_name_H-M_alt 'P m -3 m'
_space_group_IT_number 221
_space_group_name_Hall '-P 4 2 3'
_cell_length_a 5.193
_cell_length_b 5.193
_cell_length_c 5.193
_cell_angle_alpha 90.00
_cell_angle_beta 90.00
_cell_angle_gamma 90.00
loop_
_atom_site_label
_atom_site_type_symbol
_atom_site_fract_x
_atom_site_fract_y
_atom_site_fract_z
Sr1 Sr 0.000 0.000 0.000
Zr1 Zr 0.000 0.000 0.500
Sc1 Sc 0.500 0.500 0.500